! FePtCl2 PBE optimized geometry; values from VASP
! Space-group type: No. 10
! Energy, eV per atom: -4.235
&SYSTEM
  ibrav = 0, nat = 4, ntyp = 3
/
ATOMIC_SPECIES
Fe 55.84 Fe.upf
Pt 195.08 Pt.upf
Cl 35.45 Cl.upf
ATOMIC_POSITIONS crystal
Fe 0.5000 0.2500 0.2500
Pt 0.5000 0.7500 0.7500
Cl 0.0000 0.0066 0.0065
Cl 0.0000 0.4934 0.4935
CELL_PARAMETERS angstrom
3.9956 0.0000 0.0000
0.0000 4.3142 0.1268
0.0000 -0.2658 4.3199

=====

! FePtCl2 PBE optimized geometry; values from VASP
! Space-group type: No. 6
! Energy, eV per atom: -4.719
&SYSTEM
  ibrav = 0, nat = 4, ntyp = 3
/
ATOMIC_SPECIES
Fe 55.84 Fe.upf
Pt 195.08 Pt.upf
Cl 35.45 Cl.upf
ATOMIC_POSITIONS crystal
Fe 0.0000 0.3653 0.5377
Pt 0.5000 0.8854 0.7049
Cl 0.0000 0.9079 0.9252
Cl 0.5000 0.3415 0.3322
CELL_PARAMETERS angstrom
3.1705 0.0000 0.0000
0.0000 3.2206 -0.0618
0.0000 -0.2119 8.3452

=====

! FePtCl3 PBE optimized geometry; values from VASP
! Space-group type: No. 221
! Energy, eV per atom: -3.654
&SYSTEM
  ibrav = 0, nat = 5, ntyp = 3
/
ATOMIC_SPECIES
Fe 55.84 Fe.upf
Pt 195.08 Pt.upf
Cl 35.45 Cl.upf
ATOMIC_POSITIONS crystal
Fe 0.0000 0.0000 0.0000
Pt 0.5000 0.5000 0.5000
Cl 0.0000 0.5000 0.0000
Cl 0.0000 0.0000 0.5000
Cl 0.5000 0.0000 0.0000
CELL_PARAMETERS angstrom
-3.0096 3.6358 0.5872
-0.5940 -1.2276 4.5565
3.6347 2.8099 1.2309

=====

! FePtCl PBE optimized geometry; values from VASP
! Space-group type: No. 156
! Energy, eV per atom: -5.475
&SYSTEM
  ibrav = 0, nat = 3, ntyp = 3
/
ATOMIC_SPECIES
Fe 55.84 Fe.upf
Pt 195.08 Pt.upf
Cl 35.45 Cl.upf
ATOMIC_POSITIONS crystal
Fe 0.6667 0.3333 0.3185
Pt 0.3333 0.6667 0.6075
Cl 0.0000 0.0000 0.0740
CELL_PARAMETERS angstrom
-2.3963 1.4434 -1.0656
1.6011 -1.7758 -1.8012
-3.8875 -5.2118 1.6827

=====

! FePtCl2 PBE optimized geometry; values from VASP
! Space-group type: No. 71
! Energy, eV per atom: -4.276
&SYSTEM
  ibrav = 0, nat = 4, ntyp = 3
/
ATOMIC_SPECIES
Fe 55.84 Fe.upf
Pt 195.08 Pt.upf
Cl 35.45 Cl.upf
ATOMIC_POSITIONS crystal
Fe 0.7500 0.2500 0.5000
Pt 0.2500 0.7500 0.5000
Cl 0.9679 0.9679 0.0000
Cl 0.5321 0.5321 0.0000
CELL_PARAMETERS angstrom
5.2521 -0.0172 0.0069
1.3398 5.0784 -0.0069
-2.1824 -3.9809 2.6409

=====

! FePtCl2 PBE optimized geometry; values from VASP
! Space-group type: No. 166
! Energy, eV per atom: -4.332
&SYSTEM
  ibrav = 0, nat = 4, ntyp = 3
/
ATOMIC_SPECIES
Fe 55.84 Fe.upf
Pt 195.08 Pt.upf
Cl 35.45 Cl.upf
ATOMIC_POSITIONS crystal
Fe 0.5000 0.5000 0.5000
Pt 0.0000 0.0000 0.0000
Cl 0.8925 0.8925 0.8925
Cl 0.1075 0.1075 0.1075
CELL_PARAMETERS angstrom
2.4025 -6.8867 1.7819
4.3368 -4.9727 3.5831
1.3494 -5.7390 4.6495

=====

! Fe2PtCl8 PBE optimized geometry; values from VASP
! Space-group type: No. 12
! Energy, eV per atom: -4.068
&SYSTEM
  ibrav = 0, nat = 11, ntyp = 3
/
ATOMIC_SPECIES
Fe 55.84 Fe.upf
Pt 195.08 Pt.upf
Cl 35.45 Cl.upf
ATOMIC_POSITIONS crystal
Fe 0.6937 0.8177 0.8177
Fe 0.3063 0.1823 0.1823
Pt 0.0000 0.0000 0.0000
Cl 0.2052 0.2729 0.8579
Cl 0.7948 0.1421 0.7271
Cl 0.3977 0.7887 0.7887
Cl 0.6023 0.2113 0.2113
Cl 0.2052 0.8579 0.2729
Cl 0.7948 0.7271 0.1421
Cl 0.8382 0.6835 0.6835
Cl 0.1618 0.3165 0.3165
CELL_PARAMETERS angstrom
-4.4406 2.0454 -5.4059
-0.6573 -7.5037 -1.4241
-5.3696 -3.9414 3.7945

=====

! FePtCl2 PBE optimized geometry; values from VASP
! Space-group type: No. 47
! Energy, eV per atom: -4.257
&SYSTEM
  ibrav = 0, nat = 4, ntyp = 3
/
ATOMIC_SPECIES
Fe 55.84 Fe.upf
Pt 195.08 Pt.upf
Cl 35.45 Cl.upf
ATOMIC_POSITIONS crystal
Fe 0.5000 0.0000 0.5000
Pt 0.0000 0.5000 0.5000
Cl 0.0000 0.0000 0.0000
Cl 0.5000 0.5000 0.0000
CELL_PARAMETERS angstrom
-2.6160 1.1806 -0.9603
-0.1363 -3.8010 -4.3018
-2.0324 -2.5899 2.3528

=====

! FePtCl2 PBE optimized geometry; values from VASP
! Space-group type: No. 69
! Energy, eV per atom: -4.283
&SYSTEM
  ibrav = 0, nat = 4, ntyp = 3
/
ATOMIC_SPECIES
Fe 55.84 Fe.upf
Pt 195.08 Pt.upf
Cl 35.45 Cl.upf
ATOMIC_POSITIONS crystal
Fe 0.0000 0.5000 0.5000
Pt 0.5000 0.5000 0.0000
Cl 0.0000 0.0000 0.0000
Cl 0.5000 0.0000 0.5000
CELL_PARAMETERS angstrom
0.0558 -4.0427 -1.5628
3.7057 3.0299 -1.5849
3.8600 -0.5872 1.8756

=====

! FePtCl2 PBE optimized geometry; values from VASP
! Space-group type: No. 160
! Energy, eV per atom: -4.760
&SYSTEM
  ibrav = 0, nat = 4, ntyp = 3
/
ATOMIC_SPECIES
Fe 55.84 Fe.upf
Pt 195.08 Pt.upf
Cl 35.45 Cl.upf
ATOMIC_POSITIONS crystal
Fe 0.5106 0.5106 0.5106
Pt 0.2362 0.2362 0.2362
Cl 0.9705 0.9705 0.9705
Cl 0.7826 0.7826 0.7826
CELL_PARAMETERS angstrom
8.5573 0.0316 0.0188
7.8464 3.4151 0.0188
7.8464 1.6486 2.9908

=====

! FePtCl2 PBE optimized geometry; values from VASP
! Space-group type: No. 8
! Energy, eV per atom: -4.583
&SYSTEM
  ibrav = 0, nat = 4, ntyp = 3
/
ATOMIC_SPECIES
Fe 55.84 Fe.upf
Pt 195.08 Pt.upf
Cl 35.45 Cl.upf
ATOMIC_POSITIONS crystal
Fe 0.4650 0.4650 0.3944
Pt 0.1850 0.1850 0.3658
Cl 0.0261 0.0261 0.1096
Cl 0.8240 0.8240 0.6302
CELL_PARAMETERS angstrom
4.9160 0.0082 0.0007
3.8452 3.0629 0.0007
1.0171 0.3565 6.2578

=====

! FePtCl2 PBE optimized geometry; values from VASP
! Space-group type: No. 35
! Energy, eV per atom: -4.610
&SYSTEM
  ibrav = 0, nat = 4, ntyp = 3
/
ATOMIC_SPECIES
Fe 55.84 Fe.upf
Pt 195.08 Pt.upf
Cl 35.45 Cl.upf
ATOMIC_POSITIONS crystal
Fe 0.0000 0.0000 0.5245
Pt 0.5000 0.5000 0.7186
Cl 0.0000 0.0000 0.9208
Cl 0.5000 0.5000 0.3360
CELL_PARAMETERS angstrom
3.3752 -0.0005 0.0000
-1.6348 2.9529 0.0000
0.0000 0.0000 8.7021

=====

! RbFe2PtCl PBE optimized geometry; values from VASP
! Space-group type: No. 123
! Energy, eV per atom: -4.789
&SYSTEM
  ibrav = 0, nat = 5, ntyp = 4
/
ATOMIC_SPECIES
Cl 35.45 Cl.upf
Rb 85.47 Rb.upf
Pt 195.08 Pt.upf
Fe 55.84 Fe.upf
ATOMIC_POSITIONS crystal
Cl 0.5000 0.5000 0.5000
Rb 0.0000 0.5000 0.0000
Pt 0.0000 0.0000 0.0000
Fe 0.0000 0.0000 0.5000
Fe 0.5000 0.0000 0.0000
CELL_PARAMETERS angstrom
4.7560 0.0000 0.0000
0.0000 7.0858 0.0000
0.0000 0.0000 4.7560

=====

! RbFePtCl6 PBE optimized geometry; values from VASP
! Space-group type: No. 1
! Energy, eV per atom: -3.824
&SYSTEM
  ibrav = 0, nat = 9, ntyp = 4
/
ATOMIC_SPECIES
Rb 85.47 Rb.upf
Fe 55.84 Fe.upf
Pt 195.08 Pt.upf
Cl 35.45 Cl.upf
ATOMIC_POSITIONS crystal
Rb 0.9674 0.9681 0.9999
Fe 0.3192 0.3182 0.5001
Pt 0.6661 0.6662 0.4996
Cl 0.0656 0.3362 0.2696
Cl 0.3374 0.0674 0.7323
Cl 0.6409 0.3699 0.6770
Cl 0.0009 0.6339 0.6615
Cl 0.3698 0.6394 0.3220
Cl 0.6325 0.0008 0.3379
CELL_PARAMETERS angstrom
-2.7508 2.0638 5.4837
-6.4619 -0.4427 -0.1730
-0.0163 -6.9242 2.0652

=====

! Rb2FePtCl6 PBE optimized geometry; values from VASP
! Space-group type: No. 139
! Energy, eV per atom: -3.745
&SYSTEM
  ibrav = 0, nat = 10, ntyp = 4
/
ATOMIC_SPECIES
Cl 35.45 Cl.upf
Rb 85.47 Rb.upf
Pt 195.08 Pt.upf
Fe 55.84 Fe.upf
ATOMIC_POSITIONS crystal
Cl 0.2545 0.2545 0.4910
Cl 0.7455 0.7455 0.5090
Cl 0.2570 0.2570 0.0000
Cl 0.7430 0.7430 0.0000
Cl 0.7430 0.2570 0.0000
Cl 0.2570 0.7430 0.0000
Rb 0.7500 0.2500 0.5000
Rb 0.2500 0.7500 0.5000
Pt 0.0000 0.0000 0.0000
Fe 0.5000 0.5000 0.0000
CELL_PARAMETERS angstrom
-7.2356 0.8394 -0.8624
-0.6177 -7.1014 -1.7295
-4.5669 -4.1435 3.0903